Crystalline BeRe2 at its relaxed geometry. Source: the Alexandria database, functional GGA-PBE.

* raw total energy: -53.99 eV/cell
* SG: No. 58
* excess energy over the best structure of this formula in the dataset: 815 meV/atom

Cell and atoms, written as POSCAR:
```
BeRe2
1.0
3.058 0.000 0.000
0.000 4.756 0.000
0.000 0.000 5.369
Be Re
2 4
Direct
0.000 0.000 0.000
0.500 0.500 0.500
0.000 0.221 0.648
0.000 0.779 0.352
0.500 0.721 0.852
0.500 0.279 0.148
```